one | A plane-wave DFT calculation with PBEsol was carried out for a relaxed TcPtRh2 crystal.

Cell lengths 3.811, 3.811, 4.673 Å; angles 114.07, 114.07, 90.00 degrees
Positions (direct):
Rh 0.750 0.250 0.500
Rh 0.250 0.750 0.500
Tc 0.000 0.000 0.000
Pt 0.500 0.500 0.000

two | A plane-wave DFT calculation with PBEsol was carried out for a relaxed TcPtRh2 crystal.

Cell lengths 3.784, 3.828, 3.828 Å; angles 90.00, 90.00, 90.00 degrees
Positions (direct):
Rh 0.000 0.000 0.500
Rh 0.000 0.500 0.000
Tc 0.500 0.500 0.500
Pt 0.500 0.000 0.000

It is two that is the least stable of them.

one | A plane-wave DFT calculation with PBEsol was carried out for a relaxed Tc2PtRh crystal.

Cell lengths 2.660, 4.685, 4.741 Å; angles 98.71, 90.00, 106.49 degrees
Positions (direct):
Pt 0.503 0.005 0.504
Rh 0.745 0.490 0.238
Tc 0.002 0.003 0.003
Tc 0.251 0.501 0.754

two | A plane-wave DFT calculation with PBEsol was carried out for a relaxed Tc2PtRh crystal.

Cell lengths 4.335, 4.335, 4.335 Å; angles 60.00, 60.00, 60.00 degrees
Positions (direct):
Pt 0.000 0.000 0.000
Rh 0.500 0.500 0.500
Tc 0.250 0.250 0.250
Tc 0.750 0.750 0.750

It is two that is the least stable of them.

one | A plane-wave DFT calculation with PBEsol was carried out for a relaxed Tc2PtRh crystal.

Cell lengths 2.692, 4.332, 4.774 Å; angles 90.00, 90.00, 90.00 degrees
Positions (direct):
Rh 0.500 0.500 0.208
Tc 0.000 0.000 0.036
Tc 0.000 0.500 0.720
Pt 0.500 0.000 0.536

two | A plane-wave DFT calculation with PBEsol was carried out for a relaxed Tc2PtRh crystal.

Cell lengths 2.706, 2.706, 9.005 Å; angles 81.36, 81.36, 60.00 degrees
Positions (direct):
Pt 0.499 0.499 0.502
Rh 0.253 0.253 0.242
Tc 0.000 0.000 0.999
Tc 0.747 0.747 0.758

It is two that is the least stable of them.